a:
{"formula": "Ca5Cu4", "functional": "PBE", "state": "relaxed", "n_ef_per_ev_fu": 4.73, "vol_a3_per_cell": 215, "m_tot_mub_per_fu": 0.00, "lattice_angstrom": [[5.661, 2.959, -2.746], [-5.318, 2.044, 3.985], [3.198, -4.042, 4.667]], "species": ["Ca", "Ca", "Cu", "Cu", "Ca", "Ca", "Ca", "Cu", "Cu"], "fractional_positions": [[0.317, 0.317, 0.634], [0.317, 0.683, 0.000], [0.000, 0.362, 0.362], [0.638, 0.000, 0.638], [0.000, 0.000, 0.000], [0.683, 0.683, 0.366], [0.683, 0.317, 0.000], [0.000, 0.638, 0.638], [0.362, 0.000, 0.362]]}

***

b:
{"formula": "Ca5Cu4", "functional": "PBE", "state": "relaxed", "n_ef_per_ev_fu": 5.86, "vol_a3_per_cell": 459, "m_tot_mub_per_fu": 0.00, "lattice_angstrom": [[8.869, 0.000, 0.000], [-4.435, 7.681, 0.000], [0.000, 0.000, 6.734]], "species": ["Cu", "Cu", "Ca", "Cu", "Cu", "Ca", "Cu", "Cu", "Ca", "Ca", "Ca", "Cu", "Ca", "Ca", "Ca", "Ca", "Ca", "Cu"], "fractional_positions": [[0.000, 0.000, 0.000], [0.394, 0.000, 0.250], [0.000, 0.734, 0.250], [0.606, 0.000, 0.750], [0.606, 0.606, 0.250], [0.734, 0.000, 0.250], [0.394, 0.394, 0.750], [0.000, 0.606, 0.750], [0.333, 0.667, 0.500], [0.667, 0.333, 0.000], [0.333, 0.667, 0.000], [0.000, 0.000, 0.500], [0.000, 0.266, 0.750], [0.667, 0.333, 0.500], [0.266, 0.266, 0.250], [0.734, 0.734, 0.750], [0.266, 0.000, 0.750], [0.000, 0.394, 0.250]]}

***

Quick one: most stable of them? b

***

a:
{"formula": "Ca4Cu", "functional": "PBE", "state": "relaxed", "n_ef_per_ev_fu": 5.31, "vol_a3_per_cell": 189, "m_tot_mub_per_fu": 0.00, "lattice_angstrom": [[1.971, -3.413, 0.000], [1.971, 3.413, 0.000], [0.000, 0.000, 14.044]], "species": ["Ca", "Ca", "Ca", "Cu", "Ca"], "fractional_positions": [[0.667, 0.333, 0.611], [0.333, 0.667, 0.389], [0.333, 0.667, 0.126], [0.000, 0.000, 0.000], [0.667, 0.333, 0.874]]}

***

b:
{"formula": "Ca4Cu", "functional": "PBE", "state": "relaxed", "n_ef_per_ev_fu": 4.84, "vol_a3_per_cell": 342, "m_tot_mub_per_fu": 0.00, "lattice_angstrom": [[6.812, 0.000, 0.000], [0.000, 6.812, 0.000], [0.000, 0.000, 7.379]], "species": ["Ca", "Ca", "Ca", "Ca", "Ca", "Cu", "Ca", "Ca", "Cu", "Ca"], "fractional_positions": [[0.736, 0.164, 0.659], [0.236, 0.336, 0.841], [0.264, 0.836, 0.659], [0.164, 0.264, 0.341], [0.764, 0.664, 0.841], [0.000, 0.000, 0.000], [0.836, 0.736, 0.341], [0.664, 0.236, 0.159], [0.500, 0.500, 0.500], [0.336, 0.764, 0.159]]}

***

c:
{"formula": "Ca4Cu", "functional": "PBE", "state": "relaxed", "n_ef_per_ev_fu": 4.90, "vol_a3_per_cell": 348, "m_tot_mub_per_fu": 0.00, "lattice_angstrom": [[5.991, 0.010, -2.117], [-1.102, 6.601, -3.118], [-0.155, -0.551, 9.141]], "species": ["Ca", "Cu", "Ca", "Ca", "Cu", "Ca", "Ca", "Ca", "Ca", "Ca"], "fractional_positions": [[0.585, 0.434, 0.172], [0.300, 0.000, 0.000], [0.930, 0.223, 0.861], [0.679, 0.051, 0.358], [0.700, 0.000, 0.000], [0.321, 0.949, 0.642], [0.070, 0.777, 0.139], [0.163, 0.332, 0.327], [0.837, 0.668, 0.673], [0.415, 0.566, 0.828]]}

***

Quick one: most stable of them? c

***

a:
{"formula": "CaCu6", "functional": "PBE", "state": "relaxed", "n_ef_per_ev_fu": 2.95, "vol_a3_per_cell": 136, "m_tot_mub_per_fu": 0.00, "lattice_angstrom": [[5.608, 0.000, 0.000], [-1.869, 5.288, 0.000], [-1.869, -2.644, 4.579]], "species": ["Cu", "Cu", "Cu", "Cu", "Cu", "Cu", "Ca"], "fractional_positions": [[0.250, 0.500, 0.750], [0.500, 0.250, 0.750], [0.250, 0.750, 0.500], [0.500, 0.750, 0.250], [0.750, 0.500, 0.250], [0.750, 0.250, 0.500], [0.000, 0.000, 0.000]]}

***

b:
{"formula": "CaCu6", "functional": "PBE", "state": "relaxed", "n_ef_per_ev_fu": 2.61, "vol_a3_per_cell": 411, "m_tot_mub_per_fu": 0.00, "lattice_angstrom": [[5.023, 0.000, 0.000], [0.000, 8.052, 0.000], [0.000, 0.000, 10.158]], "species": ["Cu", "Cu", "Cu", "Cu", "Cu", "Ca", "Cu", "Cu", "Cu", "Cu", "Ca", "Cu", "Cu", "Cu", "Cu", "Ca", "Cu", "Cu", "Cu", "Ca", "Cu", "Cu", "Cu", "Cu", "Cu", "Cu", "Cu", "Cu"], "fractional_positions": [[0.250, 0.564, 0.595], [0.506, 0.065, 0.691], [0.750, 0.100, 0.483], [0.750, 0.600, 0.017], [0.250, 0.064, 0.905], [0.750, 0.740, 0.563], [0.750, 0.184, 0.246], [0.506, 0.565, 0.809], [0.994, 0.565, 0.809], [0.494, 0.935, 0.309], [0.250, 0.260, 0.437], [0.750, 0.436, 0.405], [0.250, 0.648, 0.357], [0.006, 0.935, 0.309], [0.750, 0.684, 0.254], [0.750, 0.240, 0.937], [0.250, 0.900, 0.517], [0.250, 0.400, 0.983], [0.006, 0.435, 0.191], [0.250, 0.760, 0.063], [0.750, 0.352, 0.643], [0.250, 0.148, 0.143], [0.494, 0.435, 0.191], [0.750, 0.852, 0.857], [0.250, 0.816, 0.754], [0.250, 0.316, 0.746], [0.750, 0.936, 0.095], [0.994, 0.065, 0.691]]}

***

c:
{"formula": "CaCu6", "functional": "PBE", "state": "relaxed", "n_ef_per_ev_fu": 3.61, "vol_a3_per_cell": 172, "m_tot_mub_per_fu": 0.00, "lattice_angstrom": [[-5.530, -0.188, 0.594], [0.012, -5.338, -1.576], [0.623, -1.564, 5.305]], "species": ["Cu", "Cu", "Cu", "Cu", "Ca", "Cu", "Cu"], "fractional_positions": [[0.500, 0.801, 0.500], [0.500, 0.199, 0.500], [0.500, 0.500, 0.801], [0.199, 0.500, 0.500], [0.000, 0.000, 0.000], [0.801, 0.500, 0.500], [0.500, 0.500, 0.199]]}

***

Quick one: most stable of them? b